This record from Alexandria describes Ho6TlCd5 after structural relaxation. The functional is PBE.

As for the density: 9.320 g/cm³. The value obtained for the final energy is -0.117 Ha/atom.

It has space group Cmmm (No. 65), with a = 5.271 Å, b = 15.870 Å, c = 7.480 Å, α = 90.00°, β = 90.00° and γ = 90.00°. Symmetry generates all atoms from Ho at (0.000, 0.000, 0.248), Ho at (0.000, 0.333, 0.248), Tl at (0.000, 0.500, 0.500), Cd at (0.000, 0.167, 0.000), Cd at (0.000, 0.171, 0.500) and Cd at (0.000, 0.500, 0.000).

---

This record from Alexandria describes Ho12Tl5Cd2 after structural relaxation. The functional is PBE.

As for the density: 9.543 g/cm³. The value obtained for the final energy is -0.136 Ha/atom.

It has space group C2/m (No. 12), with a = 17.034 Å, b = 7.294 Å, c = 9.120 Å, α = 90.00°, β = 97.79° and γ = 90.00°. Symmetry generates all atoms from Ho at (0.009, 0.000, 0.188), Ho at (0.042, 0.500, 0.692), Ho at (0.149, 0.244, 0.004), Ho at (0.161, 0.261, 0.411), Tl at (0.000, 0.500, 0.000), Tl at (0.194, 0.000, 0.729), Tl at (0.229, 0.500, 0.752) and Cd at (0.000, 0.181, 0.500).

---

This record from Alexandria describes Ho8TlCd2 after structural relaxation. The functional is PBE.

For the energy above the most stable polymorph in this dataset, the calculation gives 0.051 eV/atom. As for the density: 9.059 g/cm³. The value obtained for the final energy is -0.141 Ha/atom.

It has space group C2/m (No. 12), with a = 17.902 Å, b = 5.178 Å, c = 7.259 Å, α = 90.00°, β = 107.71° and γ = 90.00°. Symmetry generates all atoms from Ho at (0.025, 0.000, 0.256), Ho at (0.093, 0.500, 0.963), Ho at (0.168, 0.500, 0.458), Ho at (0.194, 0.000, 0.795), Tl at (0.000, 0.500, 0.500) and Cd at (0.188, 0.000, 0.202).

---

This record from Alexandria describes Ho8Tl2Cd after structural relaxation. The functional is PBE.

As for the density: 9.530 g/cm³. The value obtained for the final energy is -0.146 Ha/atom.

It has space group C2/m (No. 12), with a = 17.805 Å, b = 5.182 Å, c = 7.047 Å, α = 90.00°, β = 99.45° and γ = 90.00°. Symmetry generates all atoms from Ho at (0.030, 0.000, 0.246), Ho at (0.090, 0.500, 0.946), Ho at (0.163, 0.500, 0.439), Ho at (0.179, 0.000, 0.771), Tl at (0.208, 0.000, 0.216) and Cd at (0.000, 0.500, 0.500).

---

This record from Alexandria describes Ho5TlCd after structural relaxation. The functional is PBE.

As for the density: 6.826 g/cm³. The value obtained for the final energy is -0.116 Ha/atom.

It has space group Imm2 (No. 44), with a = 8.660 Å, b = 11.590 Å, c = 5.533 Å, α = 90.00°, β = 90.00° and γ = 90.00°. Symmetry generates all atoms from Ho at (0.000, 0.000, 0.000), Ho at (0.000, 0.250, 0.478), Ho at (0.175, 0.500, 0.059), Tl at (0.000, 0.500, 0.572) and Cd at (0.000, 0.000, 0.499).

---

This record from Alexandria describes Ho5Tl4Cd after structural relaxation. The functional is PBE.

As for the density: 10.886 g/cm³. The value obtained for the final energy is -0.134 Ha/atom.

It has space group P4/mmm (No. 123), with a = 3.740 Å, b = 3.740 Å, c = 19.134 Å, α = 90.00°, β = 90.00° and γ = 90.00°. Symmetry generates all atoms from Ho at (0.000, 0.000, 0.000), Ho at (0.000, 0.000, 0.203), Ho at (0.000, 0.000, 0.405), Tl at (0.500, 0.500, 0.101), Tl at (0.500, 0.500, 0.305) and Cd at (0.500, 0.500, 0.500).

---

This record from Alexandria describes Ho5Tl2Cd2 after structural relaxation. The functional is PBE.

As for the density: 9.481 g/cm³. The value obtained for the final energy is -0.129 Ha/atom.

It has space group Cmce (No. 64), with a = 16.201 Å, b = 8.033 Å, c = 7.850 Å, α = 90.00°, β = 90.00° and γ = 90.00°. Symmetry generates all atoms from Ho at (0.000, 0.000, 0.000), Ho at (0.138, 0.184, 0.328), Tl at (0.000, 0.130, 0.629) and Cd at (0.212, 0.000, 0.000).

---

This record from Alexandria describes Ho4Tl5Cd after structural relaxation. The functional is PBE.

For the energy above the most stable polymorph in this dataset, the calculation gives 0.000 eV/atom. As for the density: 11.100 g/cm³. The value obtained for the final energy is -0.124 Ha/atom.

It has space group C2/m (No. 12), with a = 17.506 Å, b = 4.998 Å, c = 6.453 Å, α = 90.00°, β = 108.07° and γ = 90.00°. Symmetry generates all atoms from Ho at (0.089, 0.000, 0.352), Ho at (0.200, 0.500, 0.119), Tl at (0.000, 0.500, 0.500), Tl at (0.103, 0.000, 0.863), Tl at (0.204, 0.500, 0.616) and Cd at (0.000, 0.500, 0.000).

---

This record from Alexandria describes Ho11Tl4Cd9 after structural relaxation. The functional is PBE.

As for the density: 9.581 g/cm³. The value obtained for the final energy is -0.115 Ha/atom.

It has space group Cmmm (No. 65), with a = 15.630 Å, b = 21.969 Å, c = 3.678 Å, α = 90.00°, β = 90.00° and γ = 90.00°. Symmetry generates all atoms from Ho at (0.000, 0.000, 0.000), Ho at (0.000, 0.177, 0.000), Ho at (0.000, 0.355, 0.000), Ho at (0.234, 0.172, 0.000), Ho at (0.236, 0.000, 0.000), Tl at (0.149, 0.413, 0.500), Cd at (0.000, 0.500, 0.500), Cd at (0.112, 0.087, 0.500) and Cd at (0.118, 0.263, 0.500).

---

This record from Alexandria describes Ho2Tl2Cd3 after structural relaxation. The functional is PBE.

As for the density: 9.907 g/cm³. The value obtained for the final energy is -0.092 Ha/atom.

It has space group Cmmm (No. 65), with a = 4.671 Å, b = 22.437 Å, c = 3.441 Å, α = 90.00°, β = 90.00° and γ = 90.00°. Symmetry generates all atoms from Ho at (0.000, 0.148, 0.000), Tl at (0.000, 0.292, 0.500), Cd at (0.000, 0.000, 0.000) and Cd at (0.000, 0.433, 0.500).

---

This record from Alexandria describes Ho2TlCd4 after structural relaxation. The functional is PBE.

As for the density: 9.252 g/cm³. The value obtained for the final energy is -0.085 Ha/atom.

It has space group I4/mmm (No. 139), with a = 4.238 Å, b = 4.238 Å, c = 19.666 Å, α = 90.00°, β = 90.00° and γ = 90.00°. Symmetry generates all atoms from Ho at (0.000, 0.000, 0.093), Tl at (0.000, 0.000, 0.500), Cd at (0.000, 0.000, 0.351) and Cd at (0.000, 0.500, 0.250).

---

This record from Alexandria describes Ho3Tl2Cd after structural relaxation. The functional is PBE.

For the energy above the most stable polymorph in this dataset, the calculation gives 0.000 eV/atom. As for the density: 10.572 g/cm³. The value obtained for the final energy is -0.131 Ha/atom.

It has space group P-3m1 (No. 164), with a = 5.3218 Å, b = 5.3218 Å, c = 13.0122 Å, α = 90.00°, β = 90.00° and γ = 120.00°. Symmetry generates all atoms from Ho at (0.0000, 0.0000, 0.2487), Ho at (0.3333, 0.6667, 0.4169), Ho at (0.3333, 0.6667, 0.9187), Tl at (0.0000, 0.0000, 0.0000), Tl at (0.0000, 0.0000, 0.5000), Tl at (0.3333, 0.6667, 0.6731) and Cd at (0.3333, 0.6667, 0.1678).

---

This record from Alexandria describes Ho4Tl2Cd after structural relaxation. The functional is PBE.

For the energy above the most stable polymorph in this dataset, the calculation gives 0.000 eV/atom. As for the density: 9.717 g/cm³. The value obtained for the final energy is -0.133 Ha/atom.

It has space group R-3m (No. 166, hexagonal axes), with a = 5.2380 Å, b = 5.2380 Å, c = 25.4789 Å, α = 90.00°, β = 90.00° and γ = 120.00°. Symmetry generates all atoms from Ho at (0.0000, 0.0000, 0.1206), Ho at (0.0000, 0.0000, 0.3723), Tl at (0.0000, 0.0000, 0.2500) and Cd at (0.0000, 0.0000, 0.5000).

---

This record from Alexandria describes HoTl2Cd after structural relaxation. The functional is PBE.

For the energy above the most stable polymorph in this dataset, the calculation gives 0.118 eV/atom. As for the density: 10.874 g/cm³. The value obtained for the final energy is -0.098 Ha/atom.

It has space group Fm-3m (No. 225), with a = 7.484 Å, b = 7.484 Å, c = 7.484 Å, α = 90.00°, β = 90.00° and γ = 90.00°. Symmetry generates all atoms from Ho at (0.000, 0.000, 0.000), Tl at (0.250, 0.250, 0.250) and Cd at (0.000, 0.000, 0.500).

---

This record from Alexandria describes Ho6Tl3Cd after structural relaxation. The functional is PBE.

As for the density: 10.301 g/cm³. The value obtained for the final energy is -0.139 Ha/atom.

It has space group P2_1/m (No. 11), with a = 9.373 Å, b = 5.329 Å, c = 11.627 Å, α = 90.00°, β = 107.80° and γ = 90.00°. Symmetry generates all atoms from Ho at (0.039, 0.250, 0.408), Ho at (0.159, 0.750, 0.180), Ho at (0.260, 0.250, 0.002), Ho at (0.345, 0.750, 0.810), Ho at (0.367, 0.250, 0.330), Ho at (0.401, 0.250, 0.620), Tl at (0.030, 0.750, 0.888), Tl at (0.128, 0.250, 0.714), Tl at (0.279, 0.750, 0.472) and Cd at (0.452, 0.750, 0.105).

---

This record from Alexandria describes Ho7Tl3Cd after structural relaxation. The functional is PBE.

As for the density: 9.668 g/cm³. The value obtained for the final energy is -0.136 Ha/atom.

It has space group C2/m (No. 12), with a = 11.233 Å, b = 11.462 Å, c = 5.793 Å, α = 90.00°, β = 120.02° and γ = 90.00°. Symmetry generates all atoms from Ho at (0.000, 0.000, 0.000), Ho at (0.177, 0.277, 0.680), Ho at (0.186, 0.500, 0.185), Tl at (0.000, 0.269, 0.000), Tl at (0.000, 0.500, 0.500) and Cd at (0.000, 0.000, 0.500).

---

This record from Alexandria describes Ho12Tl2Cd5 after structural relaxation. The functional is PBE.

As for the density: 9.208 g/cm³. The value obtained for the final energy is -0.129 Ha/atom.

It has space group C2/m (No. 12), with a = 12.616 Å, b = 10.476 Å, c = 8.279 Å, α = 90.00°, β = 103.50° and γ = 90.00°. Symmetry generates all atoms from Ho at (0.081, 0.000, 0.204), Ho at (0.105, 0.238, 0.893), Ho at (0.137, 0.500, 0.643), Ho at (0.175, 0.307, 0.305), Tl at (0.000, 0.239, 0.500), Cd at (0.000, 0.500, 0.000), Cd at (0.135, 0.000, 0.600) and Cd at (0.243, 0.500, 0.028).

---

This record from Alexandria describes Ho3TlCd4 after structural relaxation. The functional is PBE.

As for the density: 9.433 g/cm³. The value obtained for the final energy is -0.100 Ha/atom.

It has space group P4/mmm (No. 123), with a = 4.972 Å, b = 4.972 Å, c = 8.182 Å, α = 90.00°, β = 90.00° and γ = 90.00°. Symmetry generates all atoms from Ho at (0.000, 0.000, 0.000), Ho at (0.000, 0.000, 0.500), Ho at (0.500, 0.500, 0.000), Tl at (0.500, 0.500, 0.500) and Cd at (0.000, 0.500, 0.249).

---

This record from Alexandria describes Ho6Tl6Cd after structural relaxation. The functional is PBE.

As for the density: 10.342 g/cm³. The value obtained for the final energy is -0.126 Ha/atom.

It has space group P6/mmm (No. 191), with a = 6.4441 Å, b = 6.4441 Å, c = 10.3952 Å, α = 90.00°, β = 90.00° and γ = 120.00°. Symmetry generates all atoms from Ho at (0.0000, 0.0000, 0.1814), Ho at (0.3333, 0.6667, 0.0000), Ho at (0.3333, 0.6667, 0.5000), Tl at (0.0000, 0.5000, 0.2507) and Cd at (0.0000, 0.0000, 0.5000).

---

This record from Alexandria describes Ho2TlCd6 after structural relaxation. The functional is PBE.

As for the density: 9.107 g/cm³. The value obtained for the final energy is -0.077 Ha/atom.

It has space group R-3m (No. 166, hexagonal axes), with a = 8.7929 Å, b = 8.7929 Å, c = 9.8737 Å, α = 90.00°, β = 90.00° and γ = 120.00°. Symmetry generates all atoms from Ho at (0.0000, 0.0000, 0.1720), Tl at (0.0000, 0.0000, 0.5000) and Cd at (0.0000, 0.3312, 0.0000).